1.
An optimized crystal structure of CeNd6Dy10. Source: the Alexandria database, functional PBE.

abc: 9.7221 9.7221 6.9227
angles: 90.00 90.00 120.00
Closest atoms and distances in Å follow each position.
Space group P-31m (No. 162)
Asymmetric unit:
Ce  0.0000  0.0000  0.0000 (multiplicity 1)  6 Dy 3.42
Nd  0.0000  0.3797  0.7986 (multiplicity 6)  9 Dy 3.34-3.74, 1 Nd 3.64
Dy  0.0000  0.2705  0.3165 (multiplicity 6)  5 Nd 3.39-3.74, 1 Ce 3.42, 2 Dy 3.66
Dy  0.3333  0.6667  0.0000 (multiplicity 2)  6 Nd 3.34, 2 Dy 3.46
Dy  0.3333  0.6667  0.5000 (multiplicity 2)  8 Dy 3.46-3.80, 6 Nd 3.68

Results
The calculation puts the calculated formation energy at 144.7 meV per atom. Its size of the total moment is 0.073 μB/atom. The calculated total energy is -4.59 eV per atom.

***

2.
An optimized crystal structure of CeNd2Dy5. Source: the Alexandria database, functional PBE.

abc: 5.0684 5.0684 20.1210
angles: 90.00 90.00 90.00
Closest atoms and distances in Å follow each position.
Space group I4/mmm (No. 139)
Asymmetric unit:
Ce  0.0000  0.0000  0.0000 (multiplicity 2)  12 Dy 3.53-3.58
Nd  0.0000  0.0000  0.2480 (multiplicity 4)  4 Nd 3.58, 8 Dy 3.59-3.64
Dy  0.0000  0.0000  0.5000 (multiplicity 2)  8 Dy 3.53, 4 Ce 3.58
Dy  0.0000  0.5000  0.1220 (multiplicity 8)  6 Dy 3.53-3.58, 2 Ce 3.53, 4 Nd 3.59-3.64

Results
The calculation puts the calculated formation energy at 45.9 meV per atom. Its size of the total moment is 0.109 μB/atom. The calculated total energy is -4.76 eV per atom.

***

3.
An optimized crystal structure of CeNd3Dy4. Source: the Alexandria database, functional PBE.

abc: 25.4284 3.4293 6.1084
angles: 90.00 94.89 90.00
Closest atoms and distances in Å follow each position.
Space group C2/m (No. 12)
Asymmetric unit:
Ce  0.0000  0.0000  0.0000 (multiplicity 2)  4 Dy 3.38, 2 Ce 3.43, 4 Nd 3.50
Nd  0.0000  0.5000  0.5000 (multiplicity 2)  2 Dy 3.29, 2 Nd 3.43, 4 Ce 3.50
Nd  0.1457  0.5000  0.7410 (multiplicity 4)  3 Dy 3.20-3.38, 2 Nd 3.43
Dy  0.1058  0.5000  0.2244 (multiplicity 4)  3 Nd 3.20-3.29, 2 Ce 3.38, 4 Dy 3.39-3.43
Dy  0.2209  0.0000  0.2373 (multiplicity 4)  1 Nd 3.38, 6 Dy 3.39-3.78

Results
The calculation puts the calculated formation energy at 243.5 meV per atom. Its size of the total moment is 0.109 μB/atom. The calculated total energy is -4.59 eV per atom.

***

4.
An optimized crystal structure of Ce2NdDy. Source: the Alexandria database, functional PBE.

abc: 3.5088 3.5088 34.9758
angles: 90.00 90.00 120.00
Closest atoms and distances in Å follow each position.
Space group R-3m (No. 166, hexagonal axes)
Asymmetric unit:
Ce  0.0000  0.0000  0.2487 (multiplicity 6)  6 Ce 3.51, 3 Dy 3.51, 3 Nd 3.59
Nd  0.0000  0.0000  0.0000 (multiplicity 3)  6 Nd 3.51, 6 Ce 3.59
Dy  0.0000  0.0000  0.5000 (multiplicity 3)  6 Dy 3.51, 6 Ce 3.51

Results
Its excess energy over the best structure of this formula in the dataset is 0 meV per atom. The calculation puts the calculated formation energy at 103.7 meV per atom. Its size of the total moment is 0.403 μB/atom. The calculated total energy is -5.21 eV per atom.

***

Which value of size of the total moment does entry 2 give?
0.109 μB/atom

***

Which formula does entry 4 have?
Ce2NdDy

***

Look up the calculated total energy of the fourth one.
-5.21 eV per atom

***

Number 1 is which compound?
CeNd6Dy10